A plane-wave DFT calculation with PBE-GGA was carried out for crystalline Tb3Sb4Rh7 at its relaxed geometry.

Geometry as CIF:
```
data_Tb3Sb4Rh7
_cell_length_a 8.2291
_cell_length_b 8.2291
_cell_length_c 9.8735
_cell_angle_alpha 123.66
_cell_angle_beta 123.66
_cell_angle_gamma 29.75
_space_group_name_H-M_alt 'P 1'
_space_group_IT_number 1
_space_group_name_Hall 'P 1'
loop_
_atom_site_label
_atom_site_fract_x
_atom_site_fract_y
_atom_site_fract_z
Tb1 0.0000 0.0000 0.0000
Tb2 0.3378 0.3378 0.3504
Tb3 0.6622 0.6622 0.6496
Sb1 0.1104 0.1104 0.8329
Sb2 0.3361 0.3361 0.7310
Sb3 0.6639 0.6639 0.2690
Sb4 0.8896 0.8896 0.1671
Rh1 0.0000 0.0000 0.5000
Rh2 0.1626 0.1626 0.4304
Rh3 0.3067 0.3067 0.9641
Rh4 0.4899 0.4899 0.7022
Rh5 0.5101 0.5101 0.2978
Rh6 0.6933 0.6933 0.0359
Rh7 0.8374 0.8374 0.5696
```

Computed properties:
Mass density (Mg/m³): 10.3
ΔE_f (raw) (eV per atom): -0.7878